No. 1
PBEsol Dy3TaO7, relaxed; polymorph energy (0 for the lowest one) = 0.00 eV per formula unit; crystal system = orthorhombic
1.0
3.735 -5.215 0.000
3.735 5.215 0.000
0.000 0.000 7.387
Dy Ta O
6 2 14
direct
0.034 0.034 0.000
0.037 0.500 0.260
0.500 0.037 0.740
0.500 0.963 0.240
0.963 0.500 0.760
0.966 0.966 0.500
0.499 0.499 0.500
0.501 0.501 0.000
0.129 0.871 0.750
0.139 0.861 0.250
0.170 0.416 0.976
0.191 0.449 0.545
0.416 0.170 0.024
0.430 0.570 0.250
0.449 0.191 0.455
0.551 0.809 0.955
0.570 0.430 0.750
0.584 0.830 0.524
0.809 0.551 0.045
0.830 0.584 0.476
0.861 0.139 0.750
0.871 0.129 0.250

=====

No. 2
PBEsol Tl3In, relaxed; crystal system = hexagonal
1.0
3.420 0.000 0.000
-1.710 2.962 0.000
0.000 0.000 10.918
Tl In
3 1
direct
0.000 0.000 0.000
0.333 0.667 0.257
0.333 0.667 0.743
0.000 0.000 0.500

=====

No. 3
PBEsol CuNi2Ir, relaxed; crystal system = monoclinic
1.0
4.205 -1.288 0.000
4.205 1.288 0.000
-0.823 0.000 4.298
Cu Ni Ir
1 2 1
direct
0.000 0.000 0.000
0.249 0.249 0.772
0.502 0.502 0.509
0.755 0.755 0.280

=====

No. 4
PBEsol Cu2PCl, relaxed; polymorph energy (0 for the lowest one) = 2.25 eV per formula unit; crystal system = tetragonal
1.0
-2.044 2.044 3.396
2.044 -2.044 3.396
2.044 2.044 -3.396
Cu P Cl
2 1 1
direct
0.250 0.750 0.500
0.750 0.250 0.500
0.000 0.000 0.000
0.500 0.500 0.000

=====

No. 5
PBEsol LaFePt2, relaxed; polymorph energy (0 for the lowest one) = 2.44 eV per formula unit; crystal system = trigonal
1.0
1.461 0.844 9.273
-1.461 0.844 9.273
0.000 -1.687 9.273
La Fe Pt
1 1 2
direct
0.000 0.000 0.000
0.500 0.500 0.500
0.238 0.238 0.238
0.762 0.762 0.762

=====

No. 6
PBEsol CuOsPtO2, relaxed; crystal system = tetragonal
1.0
3.647 0.000 0.000
0.000 3.647 0.000
0.000 0.000 5.315
Cu Os Pt O
1 1 1 2
direct
0.000 0.000 0.000
0.000 0.000 0.500
0.500 0.500 0.000
0.000 0.500 0.500
0.500 0.000 0.500

=====

No. 7
PBEsol TlOs2Pt, relaxed; polymorph energy (0 for the lowest one) = 0.00 eV per formula unit; crystal system = orthorhombic
1.0
2.819 0.000 0.000
0.000 3.814 0.000
0.000 0.000 6.016
Tl Os Pt
1 2 1
direct
0.000 0.000 0.000
0.000 0.000 0.481
0.500 0.500 0.296
0.500 0.500 0.740

=====

No. 8
PBEsol Sr6Ca2Fe7CoO24, relaxed; crystal system = orthorhombic
1.0
5.333 -5.336 0.000
5.333 5.336 0.000
0.000 0.000 7.538
Sr Ca Fe Co O
6 2 7 1 24
direct
0.249 0.249 0.000
0.249 0.249 0.498
0.249 0.751 0.000
0.751 0.249 0.000
0.751 0.751 0.000
0.751 0.751 0.498
0.248 0.752 0.497
0.752 0.248 0.497
0.000 0.000 0.747
0.000 0.500 0.251
0.000 0.500 0.747
0.500 0.000 0.251
0.500 0.000 0.747
0.500 0.500 0.251
0.500 0.500 0.747
0.000 0.000 0.250
0.000 0.000 0.501
0.000 0.000 0.997
0.000 0.500 0.500
0.000 0.500 0.999
0.002 0.748 0.253
0.002 0.749 0.746
0.250 0.502 0.746
0.251 0.502 0.252
0.251 0.998 0.746
0.252 0.998 0.253
0.498 0.749 0.252
0.498 0.750 0.746
0.500 0.000 0.500
0.500 0.000 0.999
0.500 0.500 0.499
0.500 0.500 0.999
0.502 0.250 0.746
0.502 0.251 0.252
0.748 0.002 0.253
0.749 0.002 0.746
0.749 0.498 0.252
0.750 0.498 0.746
0.998 0.251 0.746
0.998 0.252 0.253

=====

No. 9
PBEsol Ca2NbOs, relaxed; crystal system = cubic
1.0
0.000 3.476 3.476
3.476 0.000 3.476
3.476 3.476 0.000
Ca Nb Os
2 1 1
direct
0.250 0.250 0.250
0.750 0.750 0.750
0.000 0.000 0.000
0.500 0.500 0.500

=====

No. 10
PBEsol NiGe3C, relaxed; crystal system = cubic
1.0
4.407 0.000 0.000
0.000 4.407 0.000
0.000 0.000 4.407
Ni Ge C
1 3 1
direct
0.000 0.000 0.000
0.000 0.000 0.500
0.000 0.500 0.000
0.500 0.000 0.000
0.500 0.500 0.500

=====

No. 11
PBEsol CaCo2Au, relaxed; crystal system = cubic
1.0
0.000 3.119 3.119
3.119 0.000 3.119
3.119 3.119 0.000
Ca Co Au
1 2 1
direct
0.000 0.000 0.000
0.250 0.250 0.250
0.750 0.750 0.750
0.500 0.500 0.500

=====

No. 12
PBEsol Cd2Co2Sb, relaxed; crystal system = tetragonal
1.0
-1.626 1.626 8.858
1.626 -1.626 8.858
1.626 1.626 -8.858
Cd Co Sb
2 2 1
direct
0.127 0.127 0.000
0.873 0.873 0.000
0.250 0.750 0.500
0.750 0.250 0.500
0.500 0.500 0.000

=====

no.,electronic total energy (eV per atom),D(E_F) (states/eV/cell)
1,-9.306,0.00
2,-2.714,1.66
3,-6.569,6.02
4,-3.562,3.62
5,-7.027,3.59
6,-6.678,4.05
7,-8.027,2.13
8,-7.307,9.96
9,-5.773,5.68
10,-4.810,2.48
11,-5.035,7.58
12,-4.115,3.47